Record 1
A relaxed structure of TiAlFe2, computed with GGA-PBEsol.

Cell: 2.8908 2.8908 5.7155 Å, 90.00 90.00 90.00°
Closest atoms and distances in Å follow each position.
Positions (direct):
Fe 0.5000 0.5000 0.7506  4 Al 2.49, 4 Ti 2.50
Fe 0.5000 0.5000 0.2494  4 Al 2.49, 4 Ti 2.50
Al 0.0000 0.0000 0.0000  8 Fe 2.49
Ti 0.0000 0.0000 0.5000  8 Fe 2.50

Computed properties:
- SG = No. 123
- N(E_F) (states/eV/cell) = 5.18

Record 2
A relaxed structure of Fe2Rh, computed with GGA-PBEsol.

Cell: 2.9100 4.1315 6.5115 Å, 108.50 90.00 90.00°
Closest atoms and distances in Å follow each position.
Positions (direct):
Rh 0.5000 0.6675 0.3349  8 Fe 2.53-2.59
Rh 0.5000 0.3325 0.6651  8 Fe 2.53-2.59
Fe 0.0000 0.8406 0.6812  2 Fe 2.45, 6 Rh 2.53-2.59
Fe 0.0000 0.5000 0.0000  4 Fe 2.53, 4 Rh 2.53
Fe 0.0000 0.1594 0.3188  2 Fe 2.45, 6 Rh 2.53-2.59
Fe 0.5000 0.0000 0.0000  8 Fe 2.45-2.53

Computed properties:
- SG = No. 65
- N(E_F) (states/eV/cell) = 3.71

Record 3
A relaxed structure of Lu4CdPd, computed with GGA-PBEsol.

Cell: 9.3057 9.3057 9.3057 Å, 60.00 60.00 60.00°
Closest atoms and distances in Å follow each position.
Positions (direct):
Cd 0.1677 0.1677 0.1677  3 Cd 3.06, 9 Lu 3.13-3.38
Cd 0.1677 0.4969 0.1677  3 Cd 3.06, 9 Lu 3.13-3.38
Cd 0.4969 0.1677 0.1677  3 Cd 3.06, 9 Lu 3.13-3.38
Cd 0.1677 0.1677 0.4969  3 Cd 3.06, 9 Lu 3.13-3.38
Lu 0.9390 0.9390 0.5610  2 Pd 2.77
Lu 0.1847 0.1847 0.8153  2 Cd 3.13, 10 Lu 3.39-3.49, 2 Pd 3.39
Lu 0.9390 0.5610 0.5610  2 Pd 2.77
Lu 0.5610 0.9390 0.9390  2 Pd 2.77
Lu 0.3947 0.8158 0.3947  3 Pd 2.76
Lu 0.9390 0.5610 0.9390  2 Pd 2.77
Lu 0.3947 0.3947 0.3947  3 Pd 2.76
Lu 0.1847 0.8153 0.8153  2 Cd 3.13, 10 Lu 3.39-3.49, 2 Pd 3.39
Lu 0.8158 0.3947 0.3947  3 Pd 2.76
Lu 0.1847 0.8153 0.1847  2 Cd 3.13, 10 Lu 3.39-3.49, 2 Pd 3.39
Lu 0.8153 0.1847 0.1847  2 Cd 3.13, 10 Lu 3.39-3.49, 2 Pd 3.39
Lu 0.8153 0.1847 0.8153  2 Cd 3.13, 10 Lu 3.39-3.49, 2 Pd 3.39
Lu 0.5610 0.9390 0.5610  2 Pd 2.77
Lu 0.5610 0.5610 0.9390  2 Pd 2.77
Lu 0.8153 0.8153 0.1847  2 Cd 3.13, 10 Lu 3.39-3.49, 2 Pd 3.39
Lu 0.3947 0.3947 0.8158  3 Pd 2.76
Pd 0.6046 0.6046 0.6046  6 Lu 2.76-2.77
Pd 0.6046 0.1863 0.6046  6 Lu 2.76-2.77
Pd 0.6046 0.6046 0.1863  6 Lu 2.76-2.77
Pd 0.1863 0.6046 0.6046  6 Lu 2.76-2.77

Computed properties:
- SG = No. 216
- N(E_F) (states/eV/cell) = 21.88

Record 4
A relaxed structure of Sb8Cl2O11, computed with GGA-PBEsol.

Cell: 4.1147 8.8906 11.1730 Å, 81.46 87.84 78.86°
Closest atoms and distances in Å follow each position.
Positions (direct):
O 0.1768 0.5473 0.8009  3 Sb 2.06-2.19
O 0.4340 0.2475 0.1422  2 Sb 2.00-2.01
O 0.8232 0.4527 0.1991  3 Sb 2.06-2.19
O 0.9087 0.9997 0.7903  2 Sb 1.98-2.01
O 0.5660 0.7525 0.8578  2 Sb 2.00-2.01
O 0.5000 0.0000 0.0000  2 Sb 1.98
O 0.2825 0.2451 0.7464  2 Sb 1.96-1.99
O 0.2915 0.5091 0.3120  3 Sb 1.99-2.17
O 0.0913 0.0003 0.2097  2 Sb 1.98-2.01
O 0.7085 0.4909 0.6880  3 Sb 1.99-2.17
O 0.7175 0.7549 0.2536  2 Sb 1.96-1.99
Cl 0.8860 0.1927 0.5187  1 Sb 2.58
Cl 0.1140 0.8073 0.4813  1 Sb 2.58
Sb 0.7733 0.5491 0.3574  4 O 1.99-2.17
Sb 0.7064 0.9522 0.3141  2 O 1.96-2.01
Sb 0.3253 0.4772 0.1390  4 O 1.99-2.19
Sb 0.1260 0.1470 0.0596  3 O 1.98-2.01
Sb 0.8740 0.8530 0.9404  3 O 1.98-2.01
Sb 0.2936 0.0478 0.6859  2 O 1.96-2.01
Sb 0.6747 0.5228 0.8610  4 O 1.99-2.19
Sb 0.2267 0.4509 0.6426  4 O 1.99-2.17

Computed properties:
- SG = No. 2
- energy above the most stable polymorph in this dataset (meV/atom) = 0.0
- N(E_F) (states/eV/cell) = 0.00
- raw formation energy (eV per formula unit) = -25.690

Record 5
A relaxed structure of ZnBiTe3, computed with GGA-PBEsol.

Cell: 5.2072 5.2072 5.2072 Å, 90.00 90.00 90.00°
Closest atoms and distances in Å follow each position.
Positions (direct):
Te 0.0000 0.5000 0.0000  2 Zn 2.60
Te 0.0000 0.0000 0.5000  2 Zn 2.60
Te 0.5000 0.0000 0.0000  2 Zn 2.60
Bi 0.5000 0.5000 0.5000  12 Te 3.68
Zn 0.0000 0.0000 0.0000  6 Te 2.60

Computed properties:
- SG = No. 221
- N(E_F) (states/eV/cell) = 3.57
- raw formation energy (eV per formula unit) = 1.341

Record 6
A relaxed structure of Tb2Al9Rh3, computed with GGA-PBEsol.

Cell: 7.4824 7.4824 9.3955 Å, 90.00 90.00 119.34°
Closest atoms and distances in Å follow each position.
Positions (direct):
Al 0.1281 0.1281 0.7500  2 Rh 2.54, 6 Al 2.74-2.76
Al 0.3326 0.3326 0.0496  3 Rh 2.56-2.60, 3 Al 2.70-2.76
Al 0.3358 0.0005 0.9249  3 Rh 2.53-2.61, 3 Al 2.74-2.78
Al 0.5515 0.3403 0.7500  2 Rh 2.53, 4 Al 2.73-2.78
Al 0.3403 0.5515 0.7500  2 Rh 2.53, 4 Al 2.73-2.78
Al 0.6597 0.4485 0.2500  2 Rh 2.53, 4 Al 2.73-2.78
Al 0.3326 0.3326 0.4504  3 Rh 2.56-2.60, 3 Al 2.70-2.76
Al 0.4485 0.6597 0.2500  2 Rh 2.53, 4 Al 2.73-2.78
Al 0.6674 0.6674 0.9504  3 Rh 2.56-2.60, 3 Al 2.70-2.76
Al 0.8719 0.8719 0.2500  2 Rh 2.54, 6 Al 2.74-2.76
Al 0.6642 0.9995 0.4249  3 Rh 2.53-2.61, 3 Al 2.74-2.78
Al 0.0005 0.3358 0.9249  3 Rh 2.53-2.61, 3 Al 2.74-2.78
Al 0.6642 0.9995 0.0751  3 Rh 2.53-2.61, 3 Al 2.74-2.78
Al 0.9995 0.6642 0.4249  3 Rh 2.53-2.61, 3 Al 2.74-2.78
Al 0.6674 0.6674 0.5496  3 Rh 2.56-2.60, 3 Al 2.70-2.76
Al 0.3358 0.0005 0.5751  3 Rh 2.53-2.61, 3 Al 2.74-2.78
Al 0.0005 0.3358 0.5751  3 Rh 2.53-2.61, 3 Al 2.74-2.78
Al 0.9995 0.6642 0.0751  3 Rh 2.53-2.61, 3 Al 2.74-2.78
Rh 0.6719 0.3281 0.5000  8 Al 2.53-2.61
Rh 0.3281 0.6719 0.5000  8 Al 2.53-2.61
Rh 0.3281 0.6719 0.0000  8 Al 2.53-2.61
Rh 0.0000 0.0000 0.0000  8 Al 2.54-2.61
Rh 0.6719 0.3281 0.0000  8 Al 2.53-2.61
Rh 0.0000 0.0000 0.5000  8 Al 2.54-2.61
Tb 0.0054 0.3277 0.2500  11 Al 3.01-3.13
Tb 0.9946 0.6723 0.7500  11 Al 3.01-3.13
Tb 0.3277 0.0054 0.2500  11 Al 3.01-3.13
Tb 0.6723 0.9946 0.7500  11 Al 3.01-3.13

Computed properties:
- SG = No. 63
- N(E_F) (states/eV/cell) = 10.64

Record 7
A relaxed structure of Sr2BeAg, computed with GGA-PBEsol.

Cell: 4.5497 4.5497 6.0942 Å, 111.92 111.92 90.00°
Closest atoms and distances in Å follow each position.
Positions (direct):
Sr 0.0000 0.0000 0.0000  4 Ag 3.22, 4 Be 3.45, 4 Sr 3.45
Sr 0.7500 0.2500 0.5000  4 Be 3.22, 4 Ag 3.45, 4 Sr 3.45
Be 0.2500 0.7500 0.5000  8 Sr 3.22-3.45, 4 Ag 3.45
Ag 0.5000 0.5000 0.0000  8 Sr 3.22-3.45, 4 Be 3.45

Computed properties:
- SG = No. 119
- N(E_F) (states/eV/cell) = 2.72

Record 8
A relaxed structure of LiCdBr2, computed with GGA-PBEsol.

Cell: 4.0040 4.1863 6.5904 Å, 91.74 107.68 90.00°
Closest atoms and distances in Å follow each position.
Positions (direct):
Br 0.2492 0.4067 0.4984  2 Li 2.60
Br 0.9845 0.9004 0.9690  1 Li 2.62, 4 Cd 2.89-2.90
Cd 0.4887 0.3981 0.9774  5 Br 2.89-3.01
Li 0.7776 0.7948 0.5552  3 Br 2.60-2.62

Computed properties:
- SG = No. 8
- energy above the most stable polymorph in this dataset (meV/atom) = 28.7
- N(E_F) (states/eV/cell) = 0.99
- raw formation energy (eV per formula unit) = -3.286

Record 9
A relaxed structure of SrLi4Hg, computed with GGA-PBEsol.

Cell: 5.6771 5.6771 5.6771 Å, 60.00 60.00 60.00°
Closest atoms and distances in Å follow each position.
Positions (direct):
Sr 0.7500 0.7500 0.7500  12 Li 3.34, 4 Hg 3.48
Li 0.3719 0.3719 0.8842  6 Li 2.77-2.91
Li 0.3719 0.8842 0.3719  6 Li 2.77-2.91
Li 0.3719 0.3719 0.3719  6 Li 2.77-2.91
Li 0.8842 0.3719 0.3719  6 Li 2.77-2.91
Hg 0.0000 0.0000 0.0000  12 Li 3.32, 4 Sr 3.48

Computed properties:
- SG = No. 216
- N(E_F) (states/eV/cell) = 5.00

Record 10
A relaxed structure of MgSc3Pb, computed with GGA-PBEsol.

Cell: 5.1192 5.1192 5.1192 Å, 90.00 90.00 90.00°
Closest atoms and distances in Å follow each position.
Positions (direct):
Sc 0.0000 0.0000 0.5000  2 Mg 2.56
Sc 0.5000 0.0000 0.0000  2 Mg 2.56
Sc 0.0000 0.5000 0.0000  2 Mg 2.56
Pb 0.5000 0.5000 0.5000  12 Sc 3.62
Mg 0.0000 0.0000 0.0000  6 Sc 2.56

Computed properties:
- SG = No. 221
- N(E_F) (states/eV/cell) = 8.71

Record 11
A relaxed structure of Re2Pt, computed with GGA-PBEsol.

Cell: 4.9490 4.9844 4.9844 Å, 75.73 60.23 60.23°
Closest atoms and distances in Å follow each position.
Positions (direct):
Re 0.6369 0.2262 0.5000  1 Re 2.37
Re 0.1369 0.5000 0.2262  1 Re 2.37
Re 0.3631 0.7738 0.5000  1 Re 2.37
Re 0.8631 0.5000 0.7738  1 Re 2.37
Pt 0.2500 0.0000 0.0000  2 Pt 2.47, 8 Re 2.68
Pt 0.7500 0.0000 0.0000  2 Pt 2.47, 8 Re 2.68

Computed properties:
- SG = No. 140
- energy above the most stable polymorph in this dataset (meV/atom) = 66.9
- N(E_F) (states/eV/cell) = 5.16

Record 12
A relaxed structure of HoCuGe, computed with GGA-PBEsol.

Cell: 4.1616 4.1616 7.2378 Å, 90.00 90.00 120.00°
Closest atoms and distances in Å follow each position.
Positions (direct):
Ho 0.0000 0.0000 0.0000  6 Ge 3.01, 6 Cu 3.01
Ho 0.0000 0.0000 0.5000  6 Ge 3.01, 6 Cu 3.01
Cu 0.6667 0.3333 0.7500  3 Ge 2.40
Cu 0.3333 0.6667 0.2500  3 Ge 2.40
Ge 0.3333 0.6667 0.7500  3 Cu 2.40
Ge 0.6667 0.3333 0.2500  3 Cu 2.40

Computed properties:
- SG = No. 194
- N(E_F) (states/eV/cell) = 1.45

Record 13
A relaxed structure of Y6N2O5, computed with GGA-PBEsol.

Cell: 4.7132 5.8486 7.5059 Å, 97.85 90.00 113.76°
Closest atoms and distances in Å follow each position.
Positions (direct):
Y 0.4343 0.8686 0.2833  4 O 2.30-2.36, 2 N 2.32-2.45
Y 0.8549 0.7098 0.5773  3 O 2.31-2.44, 3 N 2.36-2.39
Y 0.7090 0.4180 0.1391  5 O 2.32-2.40, 1 N 2.36
Y 0.5657 0.1314 0.7167  4 O 2.30-2.36, 2 N 2.32-2.45
Y 0.1451 0.2902 0.4227  3 O 2.31-2.44, 3 N 2.36-2.39
Y 0.2910 0.5820 0.8609  5 O 2.32-2.40, 1 N 2.36
N 0.6426 0.2852 0.4254  6 Y 2.32-2.45
N 0.3574 0.7148 0.5746  6 Y 2.32-2.45
O 0.0791 0.1582 0.7021  5 Y 2.31-2.44
O 0.5000 0.0000 0.0000  4 Y 2.32-2.34
O 0.9209 0.8418 0.2979  5 Y 2.31-2.44
O 0.2275 0.4550 0.1452  5 Y 2.30-2.38
O 0.7725 0.5450 0.8548  5 Y 2.30-2.38

Computed properties:
- SG = No. 12
- N(E_F) (states/eV/cell) = 2.62
- raw formation energy (eV per formula unit) = -37.051

Record 14
A relaxed structure of Sr2MgMoO6, computed with GGA-PBEsol.

Cell: 5.5691 5.5691 5.5691 Å, 60.00 60.00 60.00°
Closest atoms and distances in Å follow each position.
Positions (direct):
O 0.2580 0.7420 0.7420  1 Mo 1.91, 1 Mg 2.03
O 0.2580 0.7420 0.2580  1 Mo 1.91, 1 Mg 2.03
O 0.7420 0.7420 0.2580  1 Mo 1.91, 1 Mg 2.03
O 0.7420 0.2580 0.7420  1 Mo 1.91, 1 Mg 2.03
O 0.2580 0.2580 0.7420  1 Mo 1.91, 1 Mg 2.03
O 0.7420 0.2580 0.2580  1 Mo 1.91, 1 Mg 2.03
Sr 0.7500 0.7500 0.7500  12 O 2.79
Sr 0.2500 0.2500 0.2500  12 O 2.79
Mg 0.0000 0.0000 0.0000  6 O 2.03
Mo 0.5000 0.5000 0.5000  6 O 1.91

Computed properties:
- SG = No. 225
- N(E_F) (states/eV/cell) = 0.00
- raw formation energy (eV per formula unit) = -26.961

Record 15
A relaxed structure of Li2CuRh, computed with GGA-PBEsol.

Cell: 2.6110 2.6110 8.7127 Å, 81.38 81.38 60.00°
Closest atoms and distances in Å follow each position.
Positions (direct):
Cu 0.0000 0.0000 0.0000  6 Cu 2.61, 6 Li 2.65
Li 0.2488 0.2488 0.2537  3 Rh 2.60, 6 Li 2.61, 3 Cu 2.65
Li 0.7512 0.7512 0.7463  3 Rh 2.60, 6 Li 2.61, 3 Cu 2.65
Rh 0.5000 0.5000 0.5000  6 Li 2.60, 6 Rh 2.61

Computed properties:
- SG = No. 166
- energy above the most stable polymorph in this dataset (meV/atom) = 19.9
- N(E_F) (states/eV/cell) = 2.67

Record 16
A relaxed structure of ZrPt, computed with GGA-PBEsol.

Cell: 3.9498 5.2486 6.0001 Å, 108.83 90.00 112.10°
Closest atoms and distances in Å follow each position.
Positions (direct):
Zr 0.8410 0.6820 0.2119  6 Pt 2.72-3.01, 2 Zr 3.05
Zr 0.1590 0.3180 0.7881  6 Pt 2.72-3.01, 2 Zr 3.05
Zr 0.5000 0.0000 0.0000  6 Pt 2.82-3.00, 6 Zr 3.05-3.11
Pt 0.5000 0.0000 0.5000  6 Zr 2.72-3.00, 6 Pt 3.01-3.04
Pt 0.8329 0.6659 0.6851  7 Zr 2.81-3.13, 5 Pt 2.99-3.04
Pt 0.1671 0.3341 0.3149  7 Zr 2.81-3.13, 5 Pt 2.99-3.04

Computed properties:
- SG = No. 12
- N(E_F) (states/eV/cell) = 5.54

Record 17
A relaxed structure of ScNb2FeIr, computed with GGA-PBEsol.

Cell: 4.5335 4.6445 4.6445 Å, 90.00 90.00 90.00°
Closest atoms and distances in Å follow each position.
Positions (direct):
Fe 0.5000 0.5000 0.5000  8 Nb 3.25, 4 Ir 3.28
Ir 0.5000 0.0000 0.0000  2 Sc 2.27
Sc 0.0000 0.0000 0.0000  2 Ir 2.27, 4 Nb 2.32
Nb 0.0000 0.0000 0.5000  2 Sc 2.32
Nb 0.0000 0.5000 0.0000  2 Sc 2.32

Computed properties:
- SG = No. 123
- N(E_F) (states/eV/cell) = 6.14

Record 18
A relaxed structure of BaTiReO2, computed with GGA-PBEsol.

Cell: 4.0442 4.0442 4.8954 Å, 90.00 90.00 90.00°
Closest atoms and distances in Å follow each position.
Positions (direct):
O 0.0000 0.5000 0.0000  2 Ti 2.02
O 0.5000 0.0000 0.0000  2 Ti 2.02
Ba 0.5000 0.5000 0.5000  4 Re 2.86, 8 O 3.17
Ti 0.0000 0.0000 0.0000  4 O 2.02
Re 0.0000 0.0000 0.5000  2 Ti 2.45

Computed properties:
- SG = No. 123
- N(E_F) (states/eV/cell) = 3.74
- raw formation energy (eV per formula unit) = -2.918

Record 19
A relaxed structure of SrAsRu2, computed with GGA-PBEsol.

Cell: 3.3894 4.4261 4.4261 Å, 90.00 90.00 90.00°
Closest atoms and distances in Å follow each position.
Positions (direct):
Sr 0.5000 0.5000 0.5000  8 Ru 2.79
Ru 0.0000 0.0000 0.5000  4 As 2.79, 4 Sr 2.79
Ru 0.0000 0.5000 0.0000  4 As 2.79, 4 Sr 2.79
As 0.5000 0.0000 0.0000  8 Ru 2.79

Computed properties:
- SG = No. 123
- N(E_F) (states/eV/cell) = 3.68

Record 20
A relaxed structure of TlCd3Ru, computed with GGA-PBEsol.

Cell: 5.1123 5.1123 5.1123 Å, 90.00 90.00 90.00°
Closest atoms and distances in Å follow each position.
Positions (direct):
Cd 0.5000 0.0000 0.0000  2 Ru 2.56
Cd 0.0000 0.0000 0.5000  2 Ru 2.56
Cd 0.0000 0.5000 0.0000  2 Ru 2.56
Tl 0.5000 0.5000 0.5000  12 Cd 3.61
Ru 0.0000 0.0000 0.0000  6 Cd 2.56

Computed properties:
- SG = No. 221
- N(E_F) (states/eV/cell) = 2.99

Here are the calculated calculated total energy numbers, same order: -32.0 -51.9 -118.2 -123.9 -15.1 -165.9 -9.6 -10.2 -11.1 -22.9 -65.4 -32.8 -121.3 -75.6 -16.6 -53.1 -38.3 -37.2 -25.4 -13.7 (eV/cell).